# Nd2GeI

Nd2GeI after structural relaxation (PBE-GGA, Alexandria).

Cell and atoms, written as POSCAR:
```
Nd2GeI
1.0
-2.818 -3.328 -0.097
-0.499 -2.329 -3.654
4.466 -6.669 1.038
I Ge Nd
1 1 2
direct
0.500 0.500 0.500
0.000 0.000 0.000
0.733 0.733 0.801
0.267 0.267 0.199
```

## Properties
Its uncorrected formation energy is -1029 meV/atom. The total magnetization comes out at 0.0 Bohr magnetons per cell. For the energy above the most stable polymorph in this dataset, the calculation gives 0.00 eV/f.u. The calculation puts the electronic total energy at -0.3642 Ry/atom.